V2ReC PBE optimized geometry; energy of formation from the pure elements = -347 meV per atom; uncorrected energy = -10.32 eV/atom
1.0
2.8622 0.0000 0.0000
-1.4311 2.4787 0.0000
0.0000 0.0000 19.9265
V Re C
6 3 3
Direct
0.0000 0.0000 0.2252
0.0000 0.0000 0.7748
0.3333 0.6667 0.4415
0.3333 0.6667 0.8918
0.6667 0.3333 0.1082
0.6667 0.3333 0.5585
0.0000 0.0000 0.0000
0.3333 0.6667 0.6667
0.6667 0.3333 0.3333
0.0000 0.0000 0.5000
0.3333 0.6667 0.1667
0.6667 0.3333 0.8333

***

Nd3Be2GePt9 PBE optimized geometry; energy of formation from the pure elements = -797 meV per atom; uncorrected energy = -6.18 eV/atom
1.0
5.8682 0.0000 0.0000
-2.9341 5.0820 0.0000
0.0000 0.0000 9.3181
Nd Be Ge Pt
3 2 1 9
Direct
0.0000 0.0000 0.0000
0.3333 0.6667 0.6218
0.6667 0.3333 0.3782
0.3333 0.6667 0.1505
0.6667 0.3333 0.8495
0.0000 0.0000 0.5000
0.0000 0.5000 0.0000
0.1643 0.3286 0.2981
0.1643 0.8357 0.2981
0.3286 0.1643 0.7019
0.5000 0.0000 0.0000
0.5000 0.5000 0.0000
0.6714 0.8357 0.2981
0.8357 0.1643 0.7019
0.8357 0.6714 0.7019

***

LiLa2Co PBE optimized geometry; energy of formation from the pure elements = 182 meV per atom; uncorrected energy = -4.54 eV/atom
1.0
7.9868 0.0000 0.0000
0.0000 7.9868 0.0000
0.0000 0.0000 6.6122
Li La Co
4 8 4
Direct
0.0000 0.0000 0.0000
0.0000 0.5000 0.2500
0.5000 0.0000 0.7500
0.5000 0.5000 0.5000
0.1896 0.2500 0.6250
0.2500 0.6896 0.8750
0.2500 0.8104 0.3750
0.3104 0.2500 0.1250
0.6896 0.7500 0.1250
0.7500 0.1896 0.3750
0.7500 0.3104 0.8750
0.8104 0.7500 0.6250
0.0000 0.0000 0.5000
0.0000 0.5000 0.7500
0.5000 0.0000 0.2500
0.5000 0.5000 0.0000

***

InNiSn2 PBE optimized geometry; energy of formation from the pure elements = -24 meV per atom; uncorrected energy = -4.16 eV/atom
1.0
3.2061 0.0000 0.0000
0.0000 3.2061 0.0000
0.0000 0.0000 8.7039
In Ni Sn
1 1 2
Direct
0.0000 0.0000 0.0000
0.0000 0.0000 0.5000
0.5000 0.5000 0.3145
0.5000 0.5000 0.6855